# SiNiMo

SiNiMo after structural relaxation (PBE, Alexandria via LeMat-Bulk).

Output
- crystal system = cubic
- raw formation energy (eV per atom) = 0.34
- density (kg/m3) = 6334
- energy above the most stable polymorph in this dataset (meV/atom) = 806.6

Cell lengths 5.765, 5.765, 5.765 Å; angles 90.00, 90.00, 90.00 degrees
Space group F-43m (No. 216)
Asymmetric unit:
Si1 0.000 0.000 0.000 (multiplicity 4)
Ni1 0.000 0.000 0.500 (multiplicity 4)
Mo1 0.250 0.250 0.250 (multiplicity 4)

=====

# SiNi2Mo

SiNi2Mo after structural relaxation (PBE, Alexandria via LeMat-Bulk).

Output
- crystal system = monoclinic
- raw formation energy (eV per atom) = -0.07
- density (kg/m3) = 7897

Cell lengths 5.052, 8.530, 2.622 Å; angles 90.00, 116.02, 90.00 degrees
Space group C2/m (No. 12)
Asymmetric unit:
Si1 0.000 0.000 0.000 (multiplicity 2)
Ni1 0.250 0.250 0.500 (multiplicity 4)
Mo1 0.000 0.500 0.000 (multiplicity 2)

=====

# SiNiMo2

SiNiMo2 after structural relaxation (PBE, Alexandria via LeMat-Bulk).

Output
- crystal system = orthorhombic
- raw formation energy (eV per atom) = 0.01
- density (kg/m3) = 8261

Cell lengths 2.690, 3.839, 5.425 Å; angles 90.00, 90.00, 90.00 degrees
Space group Pmm2 (No. 25)
Asymmetric unit:
Si1 0.000 0.000 0.000 (multiplicity 1)
Ni1 0.500 0.500 0.762 (multiplicity 1)
Mo1 0.000 0.000 0.532 (multiplicity 1)
Mo2 0.500 0.500 0.244 (multiplicity 1)

=====

# Si2NiMo

Si2NiMo after structural relaxation (PBE, Alexandria via LeMat-Bulk).

Output
- crystal system = tetragonal
- raw formation energy (eV per atom) = -0.23
- density (kg/m3) = 6765

Cell lengths 3.071, 3.071, 5.488 Å; angles 90.00, 90.00, 90.00 degrees
Space group P4/mmm (No. 123)
Asymmetric unit:
Si1 0.000 0.000 0.242 (multiplicity 2)
Ni1 0.500 0.500 0.000 (multiplicity 1)
Mo1 0.500 0.500 0.500 (multiplicity 1)